Record 1
# Ba4Tl2Hg

A relaxed Ba4Tl2Hg crystal (PBE, Alexandria).

Values from the calculation:
E_form: -0.37 eV/atom
Fermi-level density of states: 1.04 states/eV per atom
Crystal system: trigonal
E: -2.185 eV per atom

Unit cell a=6.029 b=6.029 c=10.430 alpha=73.21 beta=73.21 gamma=59.95
Element x y z (fractional)
Ba: 0.123 0.123 0.631
Ba: 0.877 0.877 0.369
Ba: 0.373 0.373 0.880
Ba: 0.627 0.627 0.120
Hg: 0.000 0.000 0.000
Tl: 0.249 0.249 0.254
Tl: 0.751 0.751 0.746



Record 2
# CuPdAu2O8

A relaxed CuPdAu2O8 crystal (PBE, Alexandria).

Values from the calculation:
Fermi-level density of states: 0.72 states/eV per atom
Crystal system: tetragonal
E: -4.237 eV per atom
Raw formation energy: 0.389 eV/atom

Unit cell a=5.754 b=5.754 c=5.754 alpha=112.76 beta=112.76 gamma=103.08
Site moments in Bohr magnetons follow the coordinates.
Element x y z (fractional)
Cu: 0.250 0.750 0.500  0.42
O: 0.277 0.461 0.184  0.20
O: 0.983 0.665 0.682  0.14
O: 0.335 0.017 0.318  0.14
O: 0.539 0.723 0.816  0.20
O: 0.983 0.301 0.318  0.14
O: 0.907 0.723 0.184  0.20
O: 0.277 0.093 0.816  0.20
O: 0.699 0.017 0.682  0.14
Au: 0.750 0.250 0.500  0.11
Au: 0.500 0.500 0.000  0.03
Pd: 0.000 0.000 0.000  0.21



Record 3
# Er5ZnCd2Co2

A relaxed Er5ZnCd2Co2 crystal (PBE, Alexandria).

Values from the calculation:
E_form: -0.24 eV/atom
Fermi-level density of states: 0.66 states/eV per atom
Crystal system: tetragonal
E: -4.257 eV per atom

Unit cell a=3.528 b=11.343 c=11.343 alpha=90.00 beta=90.00 gamma=90.00
Element x y z (fractional)
Er: 0.500 0.000 0.500
Er: 0.500 0.207 0.075
Er: 0.500 0.500 0.000
Er: 0.500 0.425 0.293
Er: 0.500 0.575 0.707
Er: 0.500 0.707 0.425
Er: 0.500 0.793 0.925
Er: 0.500 0.075 0.793
Er: 0.500 0.293 0.575
Er: 0.500 0.925 0.207
Cd: 0.000 0.325 0.825
Cd: 0.000 0.175 0.325
Cd: 0.000 0.825 0.675
Cd: 0.000 0.675 0.175
Co: 0.000 0.128 0.628
Co: 0.000 0.872 0.372
Co: 0.000 0.628 0.872
Co: 0.000 0.372 0.128
Zn: 0.000 0.500 0.500
Zn: 0.000 0.000 0.000